First-principles (PBE-GGA) data for a relaxed structure of SmTlRh, as listed in Alexandria.

Properties
V: 25.4 Å³/atom
Total energy: -5.25 eV/atom
Total magnetic moment: 0.0 Bohr magnetons per cell

a b c (Å): 4.7573 4.7573 4.7573
angles (deg): 60.00 60.00 60.00
Closest atoms and distances in Å follow each position.
Element x y z (fractional)
Sm: 0.5000 0.5000 0.5000  4 Rh 2.91
Rh: 0.2500 0.2500 0.2500  4 Sm 2.91, 4 Tl 2.91
Tl: 0.0000 0.0000 0.0000  4 Rh 2.91